(1)
Entry from Alexandria via LeMat-Bulk: Ba3CdHg2O6 after structural relaxation (PBE-GGA).

a b c (Å): 6.3180 6.3180 6.9088
angles (deg): 90.00 90.00 120.00
Space group P-3m1 (No. 164)
Unique sites:
Ba: 0.0000 0.0000 0.0000
Ba: 0.3333 0.6667 0.6115
Cd: 0.0000 0.0000 0.5000
Hg: 0.3333 0.6667 0.1254
O: 0.1650 0.3299 0.3066

Final energy, eV/atom: -4.4076
V, Å³/cell: 238.83
E_form (uncorrected), eV per formula unit: -15.855



(2)
Entry from Alexandria via LeMat-Bulk: BaCd2HgO4 after structural relaxation (PBE-GGA).

a b c (Å): 3.523 12.238 12.389
angles (deg): 90.00 90.00 90.00
Space group Cmcm (No. 63)
Unique sites:
Ba: 0.000 0.154 0.250
Cd: 0.000 0.373 0.027
Hg: 0.000 0.110 0.750
O: 0.000 0.000 0.000
O: 0.000 0.239 0.609
O: 0.000 0.500 0.250

Final energy, eV/atom: -4.0740
V, Å³/cell: 534.16
E_form (uncorrected), eV per formula unit: -8.705



(3)
Entry from Alexandria via LeMat-Bulk: BaCdHgO3 after structural relaxation (PBE-GGA).

a b c (Å): 6.502 3.534 9.693
angles (deg): 90.00 106.60 90.00
Space group P2_1/m (No. 11)
Unique sites:
Ba: 0.210 0.250 0.213
Cd: 0.204 0.750 0.590
Hg: 0.322 0.250 0.873
O: 0.029 0.750 0.356
O: 0.217 0.750 0.987
O: 0.449 0.250 0.682

Final energy, eV/atom: -4.2516
V, Å³/cell: 213.44
E_form (uncorrected), eV per formula unit: -7.495



(4)
Entry from Alexandria via LeMat-Bulk: Ba3Cd2Hg4Pb2 after structural relaxation (PBE-GGA).

a b c (Å): 5.2808 5.2808 15.4302
angles (deg): 90.00 90.00 120.00
Space group P-3m1 (No. 164)
Unique sites:
Ba: 0.0000 0.0000 0.0000
Ba: 0.0000 0.0000 0.2891
Cd: 0.3333 0.6667 0.5745
Hg: 0.3333 0.6667 0.3887
Hg: 0.3333 0.6667 0.8735
Pb: 0.3333 0.6667 0.1558

Final energy, eV/atom: -1.8639
V, Å³/cell: 372.64
Formation energy, meV/atom: -389



(5)
Entry from Alexandria via LeMat-Bulk: BaCd2HgPb after structural relaxation (PBE-GGA).

a b c (Å): 13.541 4.988 4.898
angles (deg): 90.00 111.09 90.00
Space group Cm (No. 8)
Unique sites:
Ba: 0.000 0.000 0.000
Cd: 0.120 0.500 0.620
Cd: 0.252 0.000 0.752
Hg: 0.396 0.000 0.396
Pb: 0.255 0.500 0.255

Final energy, eV/atom: -1.8708
V, Å³/cell: 308.69
Relative energy among the computed polymorphs, meV per atom: 0
Formation energy, meV/atom: -318



(6)
Entry from Alexandria via LeMat-Bulk: BaCdHgPb after structural relaxation (PBE-GGA).

a b c (Å): 7.951 7.951 7.951
angles (deg): 90.00 90.00 90.00
Space group F-43m (No. 216)
Unique sites:
Ba: 0.000 0.000 0.000
Cd: 0.250 0.250 0.750
Hg: 0.250 0.250 0.250
Pb: 0.000 0.000 0.500

Final energy, eV/atom: -2.0609
V, Å³/cell: 502.56
Formation energy, meV/atom: -349



(7)
Entry from Alexandria via LeMat-Bulk: Ba2Cd6HgPb after structural relaxation (PBE-GGA).

a b c (Å): 5.950 9.605 11.023
angles (deg): 90.00 90.00 90.00
Space group Pmmn (No. 59, origin choice 2)
Unique sites:
Ba: 0.250 0.006 0.234
Cd: 0.001 0.750 0.009
Cd: 0.001 0.750 0.487
Cd: 0.250 0.504 0.576
Hg: 0.250 0.250 0.760
Pb: 0.250 0.750 0.761

Final energy, eV/atom: -1.5695
V, Å³/cell: 629.94
Formation energy, meV/atom: -235



(8)
Entry from Alexandria via LeMat-Bulk: BaCd2Hg2Pb after structural relaxation (PBE-GGA).

a b c (Å): 5.1623 5.1623 7.7190
angles (deg): 90.00 90.00 120.00
Space group P-3m1 (No. 164)
Unique sites:
Ba: 0.0000 0.0000 0.0000
Cd: 0.3333 0.6667 0.6853
Hg: 0.3333 0.6667 0.2422
Pb: 0.0000 0.0000 0.5000

Final energy, eV/atom: -1.6333
V, Å³/cell: 178.15
Formation energy, meV/atom: -289



(9)
Entry from Alexandria via LeMat-Bulk: Ba2CdHgPb6 after structural relaxation (PBE-GGA).

a b c (Å): 7.6956 7.6956 42.9196
angles (deg): 90.00 90.00 120.00
Space group R-3m (No. 166, hexagonal axes)
Unique sites:
Ba: 0.0000 0.0000 0.1167
Ba: 0.0000 0.0000 0.2910
Cd: 0.0000 0.0000 0.0000
Cd: 0.0000 0.0000 0.5000
Hg: 0.0000 0.0000 0.4288
Pb: 0.0477 0.5238 0.2940
Pb: 0.0623 0.5312 0.8695

Final energy, eV/atom: -2.8709
V, Å³/cell: 2201.27
Formation energy, meV/atom: -140



(10)
Entry from Alexandria via LeMat-Bulk: Ba2CdHg4Pb3 after structural relaxation (PBE-GGA).

a b c (Å): 5.102 5.102 12.390
angles (deg): 90.00 90.00 90.00
Space group P-4m2 (No. 115)
Unique sites:
Ba: 0.000 0.500 0.241
Cd: 0.000 0.000 0.500
Hg: 0.000 0.000 0.000
Hg: 0.000 0.500 0.629
Hg: 0.500 0.500 0.000
Pb: 0.000 0.500 0.865
Pb: 0.500 0.500 0.500

Final energy, eV/atom: -2.0231
V, Å³/cell: 322.53
Formation energy, meV/atom: -314



(11)
Entry from Alexandria via LeMat-Bulk: BaCd2HgPb after structural relaxation (PBE-GGA).

a b c (Å): 6.045 6.045 6.067
angles (deg): 90.00 90.00 90.00
Space group P4/mmm (No. 123)
Unique sites:
Ba: 0.000 0.000 0.000
Cd: 0.000 0.500 0.500
Hg: 0.500 0.500 0.500
Pb: 0.500 0.500 0.000

Final energy, eV/atom: -1.4705
V, Å³/cell: 221.69
Relative energy among the computed polymorphs, meV per atom: 400
Formation energy, meV/atom: 82



(12)
Entry from Alexandria via LeMat-Bulk: Ba2CdHg3Pb4 after structural relaxation (PBE-GGA).

a b c (Å): 5.073 5.073 12.765
angles (deg): 90.00 90.00 90.00
Space group P-4m2 (No. 115)
Unique sites:
Ba: 0.000 0.500 0.240
Cd: 0.500 0.500 0.000
Hg: 0.000 0.000 0.000
Hg: 0.000 0.500 0.641
Pb: 0.000 0.000 0.500
Pb: 0.000 0.500 0.869
Pb: 0.500 0.500 0.500

Final energy, eV/atom: -2.3669
V, Å³/cell: 328.46
Formation energy, meV/atom: -317